DFT (GGA-PBE) results for a geometry-optimized AcMg2TlHg4 structure.

Density of states at the Fermi level, states/eV/atom: 0.45
Calculated total energy, eV/atom: -1.617
Crystal system: trigonal
ΔE_f, meV per atom: -258
Symmetry: R-3m (166)

abc: 4.9799 4.9799 10.3168
angles: 76.03 76.03 60.00
Last column: nearest neighbours and their distance in Å.
Element x y z (fractional)
Mg: 0.7573 0.7573 0.7280  6 Hg 3.00-3.05
Mg: 0.2427 0.2427 0.2720  6 Hg 3.00-3.05
Hg: 0.8808 0.8808 0.3577  3 Mg 3.00, 3 Tl 3.20
Hg: 0.6100 0.6100 0.1700  3 Mg 3.05, 1 Tl 3.27, 3 Ac 3.33
Hg: 0.3900 0.3900 0.8300  3 Mg 3.05, 1 Tl 3.27, 3 Ac 3.33
Hg: 0.1192 0.1192 0.6423  3 Mg 3.00, 3 Tl 3.20
Tl: 0.5000 0.5000 0.5000  8 Hg 3.20-3.27
Ac: 0.0000 0.0000 0.0000  8 Hg 3.33-3.54

DFT (GGA-PBE) results for a geometry-optimized Ac2MgTlHg6 structure.

Density of states at the Fermi level, states/eV/atom: 0.59
Calculated total energy, eV/atom: -1.590
Crystal system: trigonal
ΔE_f, meV per atom: -191
Symmetry: R-3m (166)

abc: 7.2581 7.2581 13.4112
angles: 74.30 74.30 60.00
Last column: nearest neighbours and their distance in Å.
Element x y z (fractional)
Hg: 0.9291 0.3320 0.4070  1 Mg 2.77, 2 Hg 2.92, 1 Tl 2.99
Hg: 0.3320 0.9291 0.4070  1 Mg 2.77, 2 Hg 2.92, 1 Tl 2.99
Hg: 0.0709 0.6680 0.5930  1 Mg 2.77, 2 Hg 2.92, 1 Tl 2.99
Hg: 0.3396 0.7806 0.0993  1 Mg 2.66, 1 Tl 2.93
Hg: 0.2194 0.6604 0.9007  1 Mg 2.66, 1 Tl 2.93
Hg: 0.6680 0.6680 0.5930  1 Mg 2.77, 2 Hg 2.92, 1 Tl 2.99
Hg: 0.7806 0.7806 0.0993  1 Mg 2.66, 1 Tl 2.93
Hg: 0.2194 0.2194 0.9007  1 Mg 2.66, 1 Tl 2.93
Hg: 0.6604 0.2194 0.9007  1 Mg 2.66, 1 Tl 2.93
Hg: 0.6680 0.0709 0.5930  1 Mg 2.77, 2 Hg 2.92, 1 Tl 2.99
Hg: 0.7806 0.3396 0.0993  1 Mg 2.66, 1 Tl 2.93
Hg: 0.3320 0.3320 0.4070  1 Mg 2.77, 2 Hg 2.92, 1 Tl 2.99
Ac: 0.2837 0.2837 0.1489  12 Hg 3.66-3.70
Ac: 0.8895 0.8895 0.3314  12 Hg 3.74-3.78
Ac: 0.7163 0.7163 0.8511  12 Hg 3.66-3.70
Ac: 0.1105 0.1105 0.6686  12 Hg 3.74-3.78
Mg: 0.5000 0.5000 0.5000  6 Hg 2.77, 2 Tl 2.83
Mg: 0.0000 0.0000 0.0000  6 Hg 2.66
Tl: 0.5740 0.5740 0.2781  1 Mg 2.83, 6 Hg 2.93-2.99
Tl: 0.4260 0.4260 0.7219  1 Mg 2.83, 6 Hg 2.93-2.99

DFT (GGA-PBE) results for a geometry-optimized Ac2TmMgHg6 structure.

Density of states at the Fermi level, states/eV/atom: 0.72
Calculated total energy, eV/atom: -1.891
Crystal system: triclinic
ΔE_f, meV per atom: -282
Symmetry: P-1 (2)

abc: 10.0717 6.0712 7.6873
angles: 69.63 48.11 94.88
Last column: nearest neighbours and their distance in Å.
Element x y z (fractional)
Hg: 0.3348 0.3360 0.8289  1 Mg 2.88, 1 Tm 3.01, 3 Hg 3.07-3.16
Hg: 0.2763 0.7763 0.9531  1 Tm 3.05, 1 Mg 3.06, 3 Hg 3.07-3.11
Hg: 0.7237 0.2237 0.0469  1 Tm 3.05, 1 Mg 3.06, 3 Hg 3.07-3.11
Hg: 0.6652 0.6640 0.1711  1 Mg 2.88, 1 Tm 3.01, 3 Hg 3.07-3.16
Hg: 0.9330 0.7933 0.4654  1 Mg 2.89, 1 Tm 2.95, 2 Hg 3.10-3.12
Hg: 0.0670 0.2067 0.5346  1 Mg 2.89, 1 Tm 2.95, 2 Hg 3.10-3.12
Tm: 0.5000 0.5000 0.0000  6 Hg 2.95-3.05
Mg: 0.0000 0.0000 0.0000  6 Hg 2.88-3.06
Ac: 0.2323 0.7350 0.5389  8 Hg 3.41-3.64, 2 Mg 3.75-3.76
Ac: 0.7677 0.2650 0.4611  8 Hg 3.41-3.64, 2 Mg 3.75-3.76

Q: Among the records above, which one has the highest calculated total energy?
A: Ac2MgTlHg6

Copy entry 1 word for word.
DFT (GGA-PBE) results for a geometry-optimized AcMg2TlHg4 structure.

Density of states at the Fermi level, states/eV/atom: 0.45
Calculated total energy, eV/atom: -1.617
Crystal system: trigonal
ΔE_f, meV per atom: -258
Symmetry: R-3m (166)

abc: 4.9799 4.9799 10.3168
angles: 76.03 76.03 60.00
Last column: nearest neighbours and their distance in Å.
Element x y z (fractional)
Mg: 0.7573 0.7573 0.7280  6 Hg 3.00-3.05
Mg: 0.2427 0.2427 0.2720  6 Hg 3.00-3.05
Hg: 0.8808 0.8808 0.3577  3 Mg 3.00, 3 Tl 3.20
Hg: 0.6100 0.6100 0.1700  3 Mg 3.05, 1 Tl 3.27, 3 Ac 3.33
Hg: 0.3900 0.3900 0.8300  3 Mg 3.05, 1 Tl 3.27, 3 Ac 3.33
Hg: 0.1192 0.1192 0.6423  3 Mg 3.00, 3 Tl 3.20
Tl: 0.5000 0.5000 0.5000  8 Hg 3.20-3.27
Ac: 0.0000 0.0000 0.0000  8 Hg 3.33-3.54

Q: Which value of calculated total energy does entry 3 give?
A: -1.891 eV/atom